(w)
# NbCdCo2O, relaxed, DFT PBE with a Hubbard U
# magnetic moment = 4.131 μB per formula unit
data_NbCdCo2O
_symmetry_space_group_name_H-M 'P 4/m m m'
_symmetry_Int_Tables_number 123
_symmetry_space_group_name_Hall '-P 4 2'
_cell_length_a 4.4792
_cell_length_b 4.4792
_cell_length_c 5.6236
_cell_angle_alpha 90.00
_cell_angle_beta 90.00
_cell_angle_gamma 90.00
loop_
_atom_site_label
_atom_site_type_symbol
_atom_site_fract_x
_atom_site_fract_y
_atom_site_fract_z
Nb1 Nb 0.0000 0.0000 0.0000
Cd1 Cd 0.0000 0.0000 0.5000
Co1 Co 0.0000 0.5000 0.0000
O1 O 0.5000 0.5000 0.5000

***

(x)
# NbCdCo2O, relaxed, DFT PBE with a Hubbard U
# magnetic moment = 2.535 μB per formula unit
data_NbCdCo2O
_symmetry_space_group_name_H-M 'P 4/m m m'
_symmetry_Int_Tables_number 123
_symmetry_space_group_name_Hall '-P 4 2'
_cell_length_a 4.9553
_cell_length_b 4.9553
_cell_length_c 3.9468
_cell_angle_alpha 90.00
_cell_angle_beta 90.00
_cell_angle_gamma 90.00
loop_
_atom_site_label
_atom_site_type_symbol
_atom_site_fract_x
_atom_site_fract_y
_atom_site_fract_z
Nb1 Nb 0.0000 0.0000 0.0000
Cd1 Cd 0.5000 0.5000 0.5000
Co1 Co 0.0000 0.5000 0.5000
O1 O 0.5000 0.5000 0.0000

***

Which is less stable than every other structure shown? (w) is.